(1)
Here is LiSc2Be after structural relaxation from the Alexandria database. Energies are from PBE.

Geometry as POSCAR:
```
LiSc2Be
1.0
4.678 0.000 0.000
2.339 4.051 0.000
2.339 1.350 3.820
Be Li Sc
1 1 2
direct
0.500 0.500 0.500
0.750 0.750 0.750
0.000 0.000 0.000
0.250 0.250 0.250
```

Calculated values
**Total energy**: -4.23 eV/atom
**Total moment**: 0.001 μB per atom
**E_form**: 0.345 eV per atom

---

(2)
Here is Li2ScBe after structural relaxation from the Alexandria database. Energies are from PBE.

Geometry as POSCAR:
```
Li2ScBe
1.0
-2.665 1.420 -0.569
0.075 -1.165 -3.258
-3.035 -5.007 1.721
Be Li Sc
1 2 1
direct
0.500 0.500 0.750
0.000 0.000 0.944
0.000 0.000 0.556
0.500 0.500 0.250
```

Calculated values
**Total energy**: -3.15 eV/atom
**Total moment**: 0.021 μB per atom
**E_form**: 0.325 eV per atom

---

(3)
Here is LiScBe2 after structural relaxation from the Alexandria database. Energies are from PBE.

Geometry as POSCAR:
```
LiScBe2
1.0
-2.380 -1.969 2.808
1.930 -3.597 -0.876
2.227 3.347 1.126
Be Li Sc
2 1 1
direct
0.000 0.000 0.000
0.750 0.250 0.500
0.500 0.500 0.000
0.250 0.750 0.500
```

Calculated values
**Total energy**: -3.86 eV/atom
**Total moment**: 0.000 μB per atom
**E_form**: 0.067 eV per atom

---

(4)
Here is LiSc2Be after structural relaxation from the Alexandria database. Energies are from PBE.

Geometry as POSCAR:
```
LiSc2Be
1.0
-0.263 -2.965 1.471
3.268 -0.467 -0.356
1.054 2.852 5.938
Be Li Sc
1 1 2
direct
0.000 0.000 0.517
0.500 0.500 0.704
0.000 0.000 0.980
0.500 0.500 0.299
```

Calculated values
**Total energy**: -4.39 eV/atom
**Total moment**: 0.245 μB per atom
**E_form**: 0.183 eV per atom

---

(5)
Here is Li2ScBe after structural relaxation from the Alexandria database. Energies are from PBE.

Geometry as POSCAR:
```
Li2ScBe
1.0
-3.923 1.822 -2.521
2.704 -2.936 -3.022
-1.567 -2.266 0.800
Be Li Sc
1 2 1
direct
0.000 0.500 0.500
0.000 0.000 0.000
0.500 0.500 0.000
0.500 0.000 0.500
```

Calculated values
**Total energy**: -3.01 eV/atom
**Total moment**: 0.000 μB per atom
**E_form**: 0.457 eV per atom

---

(6)
Here is Li2ScBe2 after structural relaxation from the Alexandria database. Energies are from PBE.

Geometry as POSCAR:
```
Li2ScBe2
1.0
3.565 0.000 0.000
0.000 3.565 0.000
1.782 1.782 5.948
Sc Be Li
1 2 2
direct
0.000 0.000 0.000
0.411 0.411 0.179
0.589 0.589 0.821
0.750 0.250 0.500
0.250 0.750 0.500
```

Calculated values
**Total energy**: -3.32 eV/atom
**Total moment**: 0.000 μB per atom
**E_form**: 0.202 eV per atom

---

(7)
Here is Li2ScBe after structural relaxation from the Alexandria database. Energies are from PBE.

Geometry as POSCAR:
```
Li2ScBe
1.0
-4.457 0.584 1.273
1.984 -5.284 1.048
0.691 0.057 2.888
Be Li Sc
1 2 1
direct
0.500 0.500 0.000
0.000 0.000 0.000
0.500 0.000 0.500
0.000 0.500 0.500
```

Calculated values
**Total energy**: -3.16 eV/atom
**Total moment**: 0.000 μB per atom
**E_form**: 0.312 eV per atom

---

(8)
Here is Li2ScBe after structural relaxation from the Alexandria database. Energies are from PBE.

Geometry as POSCAR:
```
Li2ScBe
1.0
4.882 0.000 0.000
0.000 2.936 0.004
0.000 0.254 4.723
Be Li Sc
1 2 1
direct
0.500 0.750 0.750
0.000 0.960 0.973
0.000 0.540 0.527
0.500 0.250 0.250
```

Calculated values
**Total energy**: -3.23 eV/atom
**Total moment**: 0.000 μB per atom
**E_form**: 0.245 eV per atom

---

> total moment of number 2 (Li2ScBe)?

0.021 μB per atom

---

> Among the records above, which one has the lowest total energy?

number 4